First-principles (GGA-PBE) data for FeMoSe2 after structural relaxation, as listed in Alexandria.

a = 3.283 Å, b = 3.378 Å, c = 12.567 Å
α = 90.00°, β = 90.00°, γ = 90.00°
Space group Imm2 (No. 44)
Asymmetric unit:
Fe (0.000, 0.000, 0.000) (multiplicity 2)
Mo (0.000, 0.500, 0.688) (multiplicity 2)
Se (0.000, 0.000, 0.535) (multiplicity 2)
Se (0.000, 0.500, 0.289) (multiplicity 2)

Output
Formation energy from raw total energies = 0.026 eV per atom
Mass density = 7.379 Mg/m³
E = -6.539 eV/atom
Offset from the most stable computed form = 1.16 eV/f.u.

***

First-principles (GGA-PBE) data for Fe2MoSe after structural relaxation, as listed in Alexandria.

a = 3.100 Å, b = 3.100 Å, c = 5.798 Å
α = 90.00°, β = 90.00°, γ = 90.00°
Space group P4mm (No. 99)
Asymmetric unit:
Fe (0.000, 0.000, 0.000) (multiplicity 1)
Fe (0.500, 0.500, 0.208) (multiplicity 1)
Mo (0.000, 0.000, 0.480) (multiplicity 1)
Se (0.500, 0.500, 0.739) (multiplicity 1)

Output
Formation energy from raw total energies = 0.150 eV per atom
Mass density = 8.541 Mg/m³
E = -7.661 eV/atom

***

First-principles (GGA-PBE) data for FeMoSe after structural relaxation, as listed in Alexandria.

a = 3.078 Å, b = 3.078 Å, c = 9.125 Å
α = 90.00°, β = 90.00°, γ = 90.00°
Space group I4mm (No. 107)
Asymmetric unit:
Fe (0.000, 0.000, 0.000) (multiplicity 2)
Mo (0.000, 0.000, 0.670) (multiplicity 2)
Se (0.000, 0.000, 0.343) (multiplicity 2)

Output
Formation energy from raw total energies = 0.198 eV per atom
Mass density = 8.867 Mg/m³
E = -7.395 eV/atom
Offset from the most stable computed form = 0.00 eV/f.u.

***

First-principles (GGA-PBE) data for FeMoSe after structural relaxation, as listed in Alexandria.

a = 11.608 Å, b = 3.070 Å, c = 5.406 Å
α = 90.00°, β = 90.00°, γ = 90.00°
Space group Amm2 (No. 38)
Asymmetric unit:
Fe (0.158, 0.000, 0.000) (multiplicity 4)
Mo (0.000, 0.000, 0.333) (multiplicity 2)
Mo (0.500, 0.000, 0.177) (multiplicity 2)
Se (0.343, 0.000, 0.504) (multiplicity 4)

Output
Formation energy from raw total energies = 0.227 eV per atom
Mass density = 7.957 Mg/m³
E = -7.366 eV/atom
Offset from the most stable computed form = 0.09 eV/f.u.

***

First-principles (GGA-PBE) data for Fe2MoSe after structural relaxation, as listed in Alexandria.

a = 3.185 Å, b = 4.488 Å, c = 8.207 Å
α = 90.00°, β = 90.00°, γ = 90.00°
Space group Cmm2 (No. 35)
Asymmetric unit:
Fe (0.000, 0.000, 0.000) (multiplicity 2)
Fe (0.000, 0.500, 0.224) (multiplicity 2)
Mo (0.000, 0.500, 0.758) (multiplicity 2)
Se (0.000, 0.000, 0.479) (multiplicity 2)

Output
Formation energy from raw total energies = 0.399 eV per atom
Mass density = 8.111 Mg/m³
E = -7.411 eV/atom

***

First-principles (GGA-PBE) data for FeMoSe2 after structural relaxation, as listed in Alexandria.

a = 3.160 Å, b = 5.631 Å, c = 7.884 Å
α = 90.00°, β = 90.00°, γ = 90.00°
Space group Cmmm (No. 65)
Asymmetric unit:
Fe (0.000, 0.000, 0.000) (multiplicity 2)
Mo (0.000, 0.000, 0.500) (multiplicity 2)
Se (0.000, 0.500, 0.245) (multiplicity 4)

Output
Formation energy from raw total energies = 0.480 eV per atom
Mass density = 7.333 Mg/m³
E = -6.086 eV/atom
Offset from the most stable computed form = 2.97 eV/f.u.

***

First-principles (GGA-PBE) data for FeMoSe2 after structural relaxation, as listed in Alexandria.

a = 4.394 Å, b = 4.394 Å, c = 3.140 Å
α = 90.00°, β = 90.00°, γ = 90.00°
Space group P4/mmm (No. 123)
Asymmetric unit:
Fe (0.000, 0.000, 0.000) (multiplicity 1)
Mo (0.500, 0.500, 0.000) (multiplicity 1)
Se (0.000, 0.500, 0.500) (multiplicity 2)

Output
Formation energy from raw total energies = 0.203 eV per atom
Mass density = 8.485 Mg/m³
E = -6.363 eV/atom
Offset from the most stable computed form = 1.87 eV/f.u.

***

First-principles (GGA-PBE) data for FeMoSe2 after structural relaxation, as listed in Alexandria.

a = 4.139 Å, b = 3.156 Å, c = 5.198 Å
α = 90.00°, β = 110.82°, γ = 90.00°
Space group P2/m (No. 10)
Asymmetric unit:
Fe (0.000, 0.000, 0.000) (multiplicity 1)
Mo (0.500, 0.500, 0.500) (multiplicity 1)
Se (0.000, 0.000, 0.500) (multiplicity 1)
Se (0.500, 0.500, 0.000) (multiplicity 1)

Output
Formation energy from raw total energies = 0.208 eV per atom
Mass density = 8.104 Mg/m³
E = -6.358 eV/atom
Offset from the most stable computed form = 1.88 eV/f.u.

***

First-principles (GGA-PBE) data for FeMoSe2 after structural relaxation, as listed in Alexandria.

a = 6.186 Å, b = 6.186 Å, c = 6.186 Å
α = 90.00°, β = 90.00°, γ = 90.00°
Space group Fm-3m (No. 225)
Asymmetric unit:
Fe (0.000, 0.000, 0.000) (multiplicity 4)
Mo (0.000, 0.000, 0.500) (multiplicity 4)
Se (0.250, 0.250, 0.250) (multiplicity 8)

Output
Formation energy from raw total energies = 0.244 eV per atom
Mass density = 8.690 Mg/m³
E = -6.322 eV/atom
Offset from the most stable computed form = 2.03 eV/f.u.

***

First-principles (GGA-PBE) data for FeMoSe2 after structural relaxation, as listed in Alexandria.

a = 3.1000 Å, b = 3.1000 Å, c = 28.8306 Å
α = 90.00°, β = 90.00°, γ = 120.00°
Space group R3m (No. 160, hexagonal axes)
Asymmetric unit:
Fe (0.0000, 0.0000, 0.0000) (multiplicity 3)
Mo (0.0000, 0.0000, 0.7404) (multiplicity 3)
Se (0.0000, 0.0000, 0.2775) (multiplicity 3)
Se (0.0000, 0.0000, 0.4680) (multiplicity 3)

Output
Formation energy from raw total energies = -0.047 eV per atom
Mass density = 6.430 Mg/m³
E = -6.612 eV/atom
Offset from the most stable computed form = 0.87 eV/f.u.

***

First-principles (GGA-PBE) data for Fe4MoSe after structural relaxation, as listed in Alexandria.

a = 6.817 Å, b = 6.817 Å, c = 6.817 Å
α = 90.00°, β = 90.00°, γ = 90.00°
Space group F-43m (No. 216)
Asymmetric unit:
Fe (0.124, 0.124, 0.124) (multiplicity 16)
Mo (0.250, 0.250, 0.750) (multiplicity 4)
Se (0.000, 0.000, 0.500) (multiplicity 4)

Output
Formation energy from raw total energies = 0.340 eV per atom
Mass density = 8.351 Mg/m³
E = -7.688 eV/atom

***

First-principles (GGA-PBE) data for Fe2MoSe after structural relaxation, as listed in Alexandria.

a = 2.8526 Å, b = 2.8526 Å, c = 23.9358 Å
α = 90.00°, β = 90.00°, γ = 120.00°
Space group R-3m (No. 166, hexagonal axes)
Asymmetric unit:
Fe (0.0000, 0.0000, 0.2473) (multiplicity 6)
Mo (0.0000, 0.0000, 0.0000) (multiplicity 3)
Se (0.0000, 0.0000, 0.5000) (multiplicity 3)

Output
Formation energy from raw total energies = 0.346 eV per atom
Mass density = 8.464 Mg/m³
E = -7.464 eV/atom

***

First-principles (GGA-PBE) data for Fe2MoSe after structural relaxation, as listed in Alexandria.

a = 4.945 Å, b = 7.671 Å, c = 2.996 Å
α = 90.00°, β = 90.00°, γ = 90.00°
Space group Cmmm (No. 65)
Asymmetric unit:
Fe (0.250, 0.250, 0.000) (multiplicity 4)
Mo (0.000, 0.000, 0.500) (multiplicity 2)
Se (0.000, 0.500, 0.500) (multiplicity 2)

Output
Formation energy from raw total energies = 0.341 eV per atom
Mass density = 8.373 Mg/m³
E = -7.469 eV/atom

***

First-principles (GGA-PBE) data for FeMoSe2 after structural relaxation, as listed in Alexandria.

a = 3.138 Å, b = 3.922 Å, c = 5.669 Å
α = 90.00°, β = 90.00°, γ = 90.00°
Space group Pmmm (No. 47)
Asymmetric unit:
Fe (0.000, 0.000, 0.000) (multiplicity 1)
Mo (0.500, 0.000, 0.500) (multiplicity 1)
Se (0.000, 0.500, 0.500) (multiplicity 1)
Se (0.500, 0.500, 0.000) (multiplicity 1)

Output
Formation energy from raw total energies = 0.512 eV per atom
Mass density = 7.370 Mg/m³
E = -6.053 eV/atom
Offset from the most stable computed form = 3.10 eV/f.u.

***

First-principles (GGA-PBE) data for FeMoSe2 after structural relaxation, as listed in Alexandria.

a = 3.402 Å, b = 3.844 Å, c = 13.642 Å
α = 90.00°, β = 90.00°, γ = 90.00°
Space group Immm (No. 71)
Asymmetric unit:
Fe (0.000, 0.000, 0.000) (multiplicity 2)
Mo (0.000, 0.000, 0.500) (multiplicity 2)
Se (0.000, 0.500, 0.373) (multiplicity 4)

Output
Formation energy from raw total energies = -0.056 eV per atom
Mass density = 5.766 Mg/m³
E = -6.621 eV/atom
Offset from the most stable computed form = 0.83 eV/f.u.

***

First-principles (GGA-PBE) data for FeMoSe3 after structural relaxation, as listed in Alexandria.

a = 4.937 Å, b = 4.937 Å, c = 4.937 Å
α = 90.00°, β = 90.00°, γ = 90.00°
Space group Pm-3m (No. 221)
Asymmetric unit:
Fe (0.000, 0.000, 0.000) (multiplicity 1)
Mo (0.500, 0.500, 0.500) (multiplicity 1)
Se (0.000, 0.500, 0.500) (multiplicity 3)

Output
Formation energy from raw total energies = 0.662 eV per atom
Mass density = 5.364 Mg/m³
E = -5.288 eV/atom
Offset from the most stable computed form = 0.00 eV/f.u.

***

First-principles (GGA-PBE) data for TiFeMo2Se after structural relaxation, as listed in Alexandria.

a = 4.550 Å, b = 4.550 Å, c = 4.670 Å
α = 90.00°, β = 90.00°, γ = 90.00°
Space group P4/mmm (No. 123)
Asymmetric unit:
Ti (0.000, 0.000, 0.000) (multiplicity 1)
Fe (0.500, 0.500, 0.500) (multiplicity 1)
Mo (0.000, 0.500, 0.000) (multiplicity 2)
Se (0.000, 0.000, 0.500) (multiplicity 1)

Output
Formation energy from raw total energies = 1.703 eV per atom
Mass density = 6.433 Mg/m³
E = -6.598 eV/atom

***

First-principles (GGA-PBE) data for ZrFeMoSe2 after structural relaxation, as listed in Alexandria.

a = 4.835 Å, b = 4.835 Å, c = 4.433 Å
α = 90.00°, β = 90.00°, γ = 90.00°
Space group P4/mmm (No. 123)
Asymmetric unit:
Zr (0.000, 0.000, 0.000) (multiplicity 1)
Fe (0.500, 0.500, 0.000) (multiplicity 1)
Mo (0.500, 0.500, 0.500) (multiplicity 1)
Se (0.000, 0.500, 0.500) (multiplicity 2)

Output
Formation energy from raw total energies = 0.577 eV per atom
Mass density = 6.424 Mg/m³
E = -6.385 eV/atom

***

First-principles (GGA-PBE) data for FeSiMo3 after structural relaxation, as listed in Alexandria.

a = 4.430 Å, b = 4.430 Å, c = 4.430 Å
α = 90.00°, β = 90.00°, γ = 90.00°
Space group Pm-3m (No. 221)
Asymmetric unit:
Fe (0.000, 0.000, 0.000) (multiplicity 1)
Si (0.500, 0.500, 0.500) (multiplicity 1)
Mo (0.000, 0.500, 0.500) (multiplicity 3)

Output
Formation energy from raw total energies = 1.371 eV per atom
Mass density = 7.100 Mg/m³
E = -7.905 eV/atom
Offset from the most stable computed form = 1.07 eV/f.u.

***

First-principles (GGA-PBE) data for Fe2Si2Mo after structural relaxation, as listed in Alexandria.

a = 6.728 Å, b = 6.728 Å, c = 2.640 Å
α = 90.00°, β = 90.00°, γ = 90.00°
Space group P4/mbm (No. 127)
Asymmetric unit:
Fe (0.153, 0.347, 0.000) (multiplicity 4)
Si (0.141, 0.641, 0.500) (multiplicity 4)
Mo (0.000, 0.000, 0.500) (multiplicity 2)

Output
Formation energy from raw total energies = -0.323 eV per atom
Mass density = 7.330 Mg/m³
E = -8.043 eV/atom